# 1
{
  "formula": "Ac3Ge3Au",
  "functional": "GGA-PBE",
  "state": "relaxed",
  "polymorph_energy_ev_per_fu": 1.65,
  "dft_energy_ev_per_cell": -65.9,
  "cell": [[9.282, 0.000, 0.000], [-4.641, 8.039, 0.000], [0.000, 0.000, 6.365]],
  "species": ["Ac", "Ac", "Ac", "Ac", "Ac", "Ac", "Ge", "Ge", "Ge", "Ge", "Ge", "Ge", "Au", "Au"],
  "frac_coords": [[0.064, 0.364, 0.250], [0.299, 0.936, 0.250], [0.364, 0.299, 0.750], [0.636, 0.701, 0.250], [0.701, 0.064, 0.750], [0.936, 0.636, 0.750], [0.067, 0.377, 0.750], [0.310, 0.933, 0.750], [0.377, 0.310, 0.250], [0.623, 0.690, 0.750], [0.690, 0.067, 0.250], [0.933, 0.623, 0.250], [0.333, 0.667, 0.750], [0.667, 0.333, 0.250]]
}

---

# 2
{
  "formula": "AcGe4Au4",
  "functional": "GGA-PBE",
  "state": "relaxed",
  "dft_energy_ev_per_cell": -75.8,
  "cell": [[6.800, 0.000, 0.000], [0.000, 6.800, 0.000], [0.000, 0.000, 8.561]],
  "species": ["Ac", "Ac", "Ge", "Ge", "Ge", "Ge", "Ge", "Ge", "Ge", "Ge", "Au", "Au", "Au", "Au", "Au", "Au", "Au", "Au"],
  "frac_coords": [[0.250, 0.750, 0.250], [0.750, 0.250, 0.750], [0.007, 0.250, 0.107], [0.250, 0.007, 0.607], [0.250, 0.493, 0.607], [0.493, 0.250, 0.107], [0.507, 0.750, 0.893], [0.750, 0.507, 0.393], [0.750, 0.993, 0.393], [0.993, 0.750, 0.893], [0.043, 0.250, 0.409], [0.250, 0.043, 0.909], [0.250, 0.457, 0.909], [0.457, 0.250, 0.409], [0.543, 0.750, 0.591], [0.750, 0.543, 0.091], [0.750, 0.957, 0.091], [0.957, 0.750, 0.591]]
}

---

# 3
{
  "formula": "Ac5Ge2Au2",
  "functional": "GGA-PBE",
  "state": "relaxed",
  "polymorph_energy_ev_per_fu": 0.00,
  "dft_energy_ev_per_cell": -85.0,
  "cell": [[8.230, -4.234, 0.000], [8.230, 4.234, 0.000], [0.000, 0.000, 8.389]],
  "species": ["Ac", "Ac", "Ac", "Ac", "Ac", "Ac", "Ac", "Ac", "Ac", "Ac", "Ge", "Ge", "Ge", "Ge", "Au", "Au", "Au", "Au"],
  "frac_coords": [[0.000, 0.000, 0.000], [0.035, 0.691, 0.663], [0.191, 0.535, 0.163], [0.309, 0.965, 0.663], [0.465, 0.809, 0.163], [0.500, 0.500, 0.500], [0.535, 0.191, 0.837], [0.691, 0.035, 0.337], [0.809, 0.465, 0.837], [0.965, 0.309, 0.337], [0.127, 0.873, 0.372], [0.373, 0.627, 0.872], [0.627, 0.373, 0.128], [0.873, 0.127, 0.628], [0.202, 0.202, 0.000], [0.298, 0.298, 0.500], [0.702, 0.702, 0.500], [0.798, 0.798, 0.000]]
}